1.
Density functional theory data (PBE-GGA) for an optimized crystal structure of Li7Mg3Cd2.

```
Li7Mg3Cd2
1.0
4.829 0.000 0.000
0.000 3.115 0.000
-2.266 0.000 16.171
Li Mg Cd
7 3 2
Direct
0.000 0.000 0.000
0.097 0.500 0.178
0.269 0.500 0.541
0.418 0.000 0.855
0.582 0.000 0.145
0.731 0.500 0.459
0.903 0.500 0.822
0.186 0.000 0.364
0.500 0.500 0.000
0.814 0.000 0.636
0.351 0.500 0.712
0.649 0.500 0.288
```

## Properties
Formation energy from the elements (eV/f.u.): -0.95
Volume (Å³/f.u.): 243
Energy relative to the lowest polymorph listed for this composition (kcal/mol of atoms): 0.000
Symmetry: P2/m, No. 10
Magnetization (μB per formula unit): 0.00

=====

2.
Density functional theory data (PBE-GGA) for an optimized crystal structure of Rb2CaHf.

```
Rb2CaHf
1.0
9.100 0.000 0.000
0.000 9.100 0.000
0.000 0.000 9.100
Rb Ca Hf
8 4 4
Direct
0.250 0.250 0.250
0.250 0.250 0.750
0.250 0.750 0.250
0.250 0.750 0.750
0.750 0.250 0.250
0.750 0.250 0.750
0.750 0.750 0.250
0.750 0.750 0.750
0.000 0.000 0.000
0.000 0.500 0.500
0.500 0.000 0.500
0.500 0.500 0.000
0.000 0.000 0.500
0.000 0.500 0.000
0.500 0.000 0.000
0.500 0.500 0.500
```

## Properties
Formation energy from the elements (eV/f.u.): 4.80
Volume (Å³/f.u.): 188
Energy relative to the lowest polymorph listed for this composition (kcal/mol of atoms): 1.408
Symmetry: Fm-3m, No. 225
Magnetization (μB per formula unit): 1.94

=====

3.
Density functional theory data (PBE-GGA) for an optimized crystal structure of K2MgTeSe4.

```
K2MgTeSe4
1.0
-4.270 4.327 6.079
4.270 -4.327 6.079
4.270 4.327 -6.079
K Mg Te Se
4 2 2 8
Direct
0.000 0.000 0.000
0.500 0.000 0.000
0.500 0.000 0.500
0.500 0.500 0.500
0.000 0.500 0.500
0.500 0.500 0.000
0.000 0.000 0.500
0.000 0.500 0.000
0.205 0.734 0.471
0.235 0.268 0.534
0.235 0.701 0.966
0.237 0.266 0.971
0.763 0.734 0.029
0.765 0.299 0.034
0.765 0.732 0.466
0.795 0.266 0.529
```

## Properties
Volume (Å³/f.u.): 225
E_form (uncorrected) (eV/f.u.): -6.18
Symmetry: Imma, No. 74
Magnetization (μB per formula unit): 0.00

=====

4.
Density functional theory data (PBE-GGA) for an optimized crystal structure of YTm2Al2.

```
YTm2Al2
1.0
5.539 0.000 0.000
0.000 3.618 0.000
-1.438 0.000 13.110
Y Tm Al
2 4 4
Direct
0.180 0.250 0.235
0.820 0.750 0.765
0.240 0.750 0.463
0.347 0.250 0.889
0.653 0.750 0.111
0.760 0.250 0.537
0.150 0.750 0.042
0.293 0.250 0.659
0.707 0.750 0.341
0.850 0.250 0.958
```

## Properties
Formation energy from the elements (eV/f.u.): -0.76
Volume (Å³/f.u.): 131
Energy relative to the lowest polymorph listed for this composition (kcal/mol of atoms): 3.966
Symmetry: P2_1/m, No. 11
Magnetization (μB per formula unit): 0.00

=====

5.
Density functional theory data (PBE-GGA) for an optimized crystal structure of Sr2Cl.

```
Sr2Cl
1.0
3.894 0.000 0.000
0.000 3.894 0.000
0.000 0.000 15.044
Sr Cl
4 2
Direct
0.000 0.000 0.147
0.000 0.000 0.853
0.500 0.500 0.353
0.500 0.500 0.647
0.000 0.000 0.500
0.500 0.500 0.000
```

## Properties
Volume (Å³/f.u.): 114
Energy relative to the lowest polymorph listed for this composition (kcal/mol of atoms): 3.425
E_form (uncorrected) (eV/f.u.): -2.85
Symmetry: I4/mmm, No. 139
Magnetization (μB per formula unit): 0.00

=====

6.
Density functional theory data (PBE-GGA) for an optimized crystal structure of Ac3Al2Cu4.

```
Ac3Al2Cu4
1.0
5.820 -2.243 0.000
5.820 2.243 0.000
-3.178 0.000 8.126
Ac Al Cu
3 2 4
Direct
0.000 0.000 0.000
0.373 0.373 0.305
0.627 0.627 0.695
0.328 0.328 0.661
0.672 0.672 0.339
0.107 0.107 0.419
0.275 0.275 0.932
0.725 0.725 0.068
0.893 0.893 0.581
```

## Properties
Formation energy from the elements (eV/f.u.): -2.10
Volume (Å³/f.u.): 212
Energy relative to the lowest polymorph listed for this composition (kcal/mol of atoms): 0.868
Symmetry: C2/m, No. 12
Magnetization (μB per formula unit): 0.00

=====

7.
Density functional theory data (PBE-GGA) for an optimized crystal structure of Ac8Ru3CCl4.

```
Ac8Ru3CCl4
1.0
4.236 2.446 7.943
-4.236 2.446 7.943
0.000 -4.892 7.943
Ac Ru C Cl
8 3 1 4
Direct
0.238 0.238 0.238
0.241 0.725 0.725
0.275 0.275 0.759
0.275 0.759 0.275
0.725 0.241 0.725
0.725 0.725 0.241
0.759 0.275 0.275
0.762 0.762 0.762
0.000 0.000 0.500
0.000 0.500 0.000
0.500 0.000 0.000
0.500 0.500 0.500
0.000 0.000 0.000
0.000 0.500 0.500
0.500 0.000 0.500
0.500 0.500 0.000
```

## Properties
Volume (Å³/f.u.): 494
E_form (uncorrected) (eV/f.u.): -14.47
Symmetry: R-3m, No. 166
Magnetization (μB per formula unit): 0.00

=====

8.
Density functional theory data (PBE-GGA) for an optimized crystal structure of Ir2PbAu.

```
Ir2PbAu
1.0
3.135 0.000 0.000
0.000 3.135 0.000
0.000 0.000 7.214
Ir Pb Au
2 1 1
Direct
0.000 0.000 0.241
0.000 0.000 0.759
0.500 0.500 0.500
0.500 0.500 0.000
```

## Properties
Formation energy from the elements (eV/f.u.): 2.35
Volume (Å³/f.u.): 71
Symmetry: P4/mmm, No. 123
Magnetization (μB per formula unit): 0.00

=====

9.
Density functional theory data (PBE-GGA) for an optimized crystal structure of LiCu4Pd7.

```
LiCu4Pd7
1.0
5.751 -2.209 0.000
5.751 2.209 0.000
-5.375 0.000 7.299
Li Cu Pd
1 4 7
Direct
0.000 0.000 0.000
0.303 0.303 0.663
0.433 0.433 0.217
0.567 0.567 0.783
0.697 0.697 0.337
0.072 0.072 0.345
0.219 0.219 0.874
0.349 0.349 0.413
0.500 0.500 0.000
0.651 0.651 0.587
0.781 0.781 0.126
0.928 0.928 0.655
```

## Properties
Formation energy from the elements (eV/f.u.): 0.92
Volume (Å³/f.u.): 185
Energy relative to the lowest polymorph listed for this composition (kcal/mol of atoms): 3.569
Symmetry: C2/m, No. 12
Magnetization (μB per formula unit): 0.00

=====

10.
Density functional theory data (PBE-GGA) for an optimized crystal structure of BeHgO3.

```
BeHgO3
1.0
4.064 0.000 0.000
0.000 4.064 0.000
0.000 0.000 4.064
Be Hg O
1 1 3
Direct
0.000 0.000 0.000
0.500 0.500 0.500
0.000 0.500 0.500
0.500 0.000 0.500
0.500 0.500 0.000
```

## Properties
Volume (Å³/f.u.): 67
E_form (uncorrected) (eV/f.u.): 4.00
Symmetry: Pm-3m, No. 221
Magnetization (μB per formula unit): 0.00

=====

11.
Density functional theory data (PBE-GGA) for an optimized crystal structure of RbSiAu3.

```
RbSiAu3
1.0
4.788 0.000 0.000
0.000 6.414 0.000
-2.406 0.000 8.706
Rb Si Au
2 2 6
Direct
0.070 0.250 0.143
0.930 0.750 0.857
0.391 0.250 0.782
0.609 0.750 0.218
0.148 0.750 0.296
0.294 0.524 0.588
0.294 0.976 0.588
0.706 0.024 0.412
0.706 0.476 0.412
0.852 0.250 0.704
```

## Properties
Volume (Å³/f.u.): 134
Energy relative to the lowest polymorph listed for this composition (kcal/mol of atoms): 3.324
E_form (uncorrected) (eV/f.u.): -0.65
Symmetry: P2_1/m, No. 11
Magnetization (μB per formula unit): 0.00

=====

12.
Density functional theory data (PBE-GGA) for an optimized crystal structure of ZrTeAs2Rh.

```
ZrTeAs2Rh
1.0
4.704 0.000 0.000
0.000 4.704 0.000
0.000 0.000 5.338
Zr Te As Rh
1 1 2 1
Direct
0.000 0.000 0.000
0.500 0.500 0.000
0.000 0.500 0.500
0.500 0.000 0.500
0.500 0.500 0.500
```

## Properties
Volume (Å³/f.u.): 118
E_form (uncorrected) (eV/f.u.): 1.29
Symmetry: P4/mmm, No. 123
Magnetization (μB per formula unit): 0.00

=====

13.
Density functional theory data (PBE-GGA) for an optimized crystal structure of P4WBr.

```
P4WBr
1.0
0.000 3.647 3.647
3.647 0.000 3.647
3.647 3.647 0.000
P W Br
4 1 1
Direct
0.117 0.117 0.117
0.117 0.117 0.650
0.117 0.650 0.117
0.650 0.117 0.117
0.750 0.750 0.750
0.500 0.500 0.500
```

## Properties
Volume (Å³/f.u.): 97
E_form (uncorrected) (eV/f.u.): 6.60
Symmetry: F-43m, No. 216
Magnetization (μB per formula unit): 0.00

=====

14.
Density functional theory data (PBE-GGA) for an optimized crystal structure of GdInIrAu.

```
GdInIrAu
1.0
6.884 0.000 0.000
0.000 6.884 0.000
0.000 0.000 6.884
Gd In Ir Au
4 4 4 4
Direct
0.000 0.000 0.000
0.000 0.500 0.500
0.500 0.000 0.500
0.500 0.500 0.000
0.000 0.000 0.500
0.000 0.500 0.000
0.500 0.000 0.000
0.500 0.500 0.500
0.250 0.250 0.750
0.250 0.750 0.250
0.750 0.250 0.250
0.750 0.750 0.750
0.250 0.250 0.250
0.250 0.750 0.750
0.750 0.250 0.750
0.750 0.750 0.250
```

## Properties
Formation energy from the elements (eV/f.u.): -1.89
Volume (Å³/f.u.): 82
Symmetry: F-43m, No. 216
Magnetization (μB per formula unit): 7.12

=====

15.
Density functional theory data (PBE-GGA) for an optimized crystal structure of MgHIr4.

```
MgHIr4
1.0
8.768 0.000 0.000
0.000 3.987 0.000
-4.377 0.000 4.387
Mg H Ir
2 2 8
Direct
0.000 0.000 0.000
0.500 0.500 0.000
0.468 0.000 0.024
0.968 0.500 0.024
0.100 0.500 0.415
0.182 0.000 0.783
0.308 0.500 0.209
0.398 0.000 0.587
0.600 0.000 0.415
0.682 0.500 0.783
0.808 0.000 0.209
0.898 0.500 0.587
```

## Properties
Volume (Å³/f.u.): 77
Energy relative to the lowest polymorph listed for this composition (kcal/mol of atoms): 0.000
Symmetry: Cm, No. 8
Magnetization (μB per formula unit): 0.00

=====

16.
Density functional theory data (PBE-GGA) for an optimized crystal structure of Zr3Ti3Zn5.

```
Zr3Ti3Zn5
1.0
5.590 0.000 0.000
0.025 5.630 0.000
1.718 1.703 6.253
Zr Ti Zn
3 3 5
Direct
0.000 0.000 0.000
0.233 0.923 0.398
0.750 0.090 0.598
0.113 0.468 0.218
0.722 0.670 0.424
0.889 0.585 0.804
0.261 0.349 0.581
0.362 0.689 0.775
0.462 0.257 0.936
0.530 0.791 0.050
0.633 0.326 0.223
```

## Properties
Formation energy from the elements (eV/f.u.): -1.07
Volume (Å³/f.u.): 197
Symmetry: P1, No. 1
Magnetization (μB per formula unit): 0.00

=====

17.
Density functional theory data (PBE-GGA) for an optimized crystal structure of PrPa3Cr4N12.

```
PrPa3Cr4N12
1.0
5.638 3.255 2.823
-5.638 3.255 2.823
0.000 -6.510 2.823
Pr Pa Cr N
1 3 4 12
Direct
0.000 0.000 0.000
0.000 0.546 0.454
0.454 0.000 0.546
0.546 0.454 0.000
0.047 0.500 0.953
0.500 0.500 0.500
0.500 0.953 0.047
0.953 0.047 0.500
0.034 0.651 0.797
0.107 0.893 0.500
0.203 0.349 0.966
0.342 0.658 0.500
0.349 0.966 0.203
0.500 0.107 0.893
0.500 0.342 0.658
0.651 0.797 0.034
0.658 0.500 0.342
0.797 0.034 0.651
0.893 0.500 0.107
0.966 0.203 0.349
```

## Properties
Volume (Å³/f.u.): 311
E_form (uncorrected) (eV/f.u.): -13.85
Symmetry: R32, No. 155
Magnetization (μB per formula unit): 6.01

=====

18.
Density functional theory data (PBE-GGA) for an optimized crystal structure of K12BiAu6.

```
K12BiAu6
1.0
-5.783 5.783 5.783
5.783 -5.783 5.783
5.783 5.783 -5.783
K Bi Au
12 1 6
Direct
0.123 0.298 0.825
0.175 0.473 0.298
0.175 0.877 0.702
0.298 0.175 0.473
0.298 0.825 0.123
0.473 0.298 0.175
0.527 0.702 0.825
0.702 0.175 0.877
0.702 0.825 0.527
0.825 0.123 0.298
0.825 0.527 0.702
0.877 0.702 0.175
0.000 0.000 0.000
0.124 0.500 0.624
0.376 0.876 0.500
0.500 0.376 0.876
0.500 0.624 0.124
0.624 0.124 0.500
0.876 0.500 0.376
```

## Properties
Formation energy from the elements (eV/f.u.): -4.86
Volume (Å³/f.u.): 774
Symmetry: Im-3, No. 204
Magnetization (μB per formula unit): 0.08

=====

19.
Density functional theory data (PBE-GGA) for an optimized crystal structure of LaAl2Os.

```
LaAl2Os
1.0
5.589 0.000 0.000
0.000 9.839 0.000
-0.736 0.000 2.824
La Al Os
2 4 2
Direct
0.000 0.000 0.000
0.500 0.500 0.000
0.250 0.250 0.500
0.250 0.750 0.500
0.750 0.250 0.500
0.750 0.750 0.500
0.000 0.500 0.000
0.500 0.000 0.000
```

## Properties
Formation energy from the elements (eV/f.u.): 1.00
Volume (Å³/f.u.): 78
Symmetry: C2/m, No. 12
Magnetization (μB per formula unit): 0.00

=====

20.
Density functional theory data (PBE-GGA) for an optimized crystal structure of TmZnCu5.

```
TmZnCu5
1.0
8.027 0.000 0.000
0.000 4.999 0.000
0.000 0.000 10.132
Tm Zn Cu
4 4 20
Direct
0.243 0.250 0.063
0.257 0.750 0.563
0.743 0.250 0.437
0.757 0.750 0.937
0.141 0.750 0.858
0.359 0.250 0.358
0.641 0.750 0.642
0.859 0.250 0.142
0.061 0.750 0.094
0.066 0.007 0.309
0.066 0.493 0.309
0.096 0.250 0.517
0.184 0.250 0.753
0.316 0.750 0.253
0.404 0.750 0.017
0.434 0.507 0.809
0.434 0.993 0.809
0.439 0.250 0.594
0.561 0.750 0.406
0.566 0.007 0.191
0.566 0.493 0.191
0.596 0.250 0.983
0.684 0.250 0.747
0.816 0.750 0.247
0.904 0.750 0.483
0.934 0.507 0.691
0.934 0.993 0.691
0.939 0.250 0.906
```

## Properties
Formation energy from the elements (eV/f.u.): -1.42
Volume (Å³/f.u.): 102
Symmetry: Pnma, No. 62
Magnetization (μB per formula unit): 0.00